Entry 1:
The following is a PBE calculation of a relaxed Sc6Cu5Ni crystal, from Alexandria via LeMat-Bulk.

total magnetization = 0.00 Bohr magnetons per cell
calculated total energy = -5.674 eV/atom
ΔE_f = -320 meV/atom

abc: 4.5735 6.4948 7.2485
angles: 90.00 71.89 90.00
With the nearest neighbours (Å) after each atom.
Positions (direct):
Cu (0.6667, 0.5000, 0.6662)  8 Sc 2.81-2.84
Cu (0.6679, 0.0000, 0.6637)  8 Sc 2.80-2.82
Cu (0.3321, 0.0000, 0.3363)  8 Sc 2.80-2.82
Cu (0.3333, 0.5000, 0.3338)  8 Sc 2.81-2.84
Cu (0.0000, 0.5000, 0.0000)  8 Sc 2.79-2.82
Sc (0.1640, 0.2479, 0.6715)  1 Ni 2.78, 7 Cu 2.79-2.84
Sc (0.8360, 0.2479, 0.3285)  1 Ni 2.78, 7 Cu 2.79-2.84
Sc (0.1640, 0.7521, 0.6715)  1 Ni 2.78, 7 Cu 2.79-2.84
Sc (0.5000, 0.7549, 0.0000)  2 Ni 2.79, 6 Cu 2.81-2.83
Sc (0.8360, 0.7521, 0.3285)  1 Ni 2.78, 7 Cu 2.79-2.84
Sc (0.5000, 0.2451, 0.0000)  2 Ni 2.79, 6 Cu 2.81-2.83
Ni (0.0000, 0.0000, 0.0000)  8 Sc 2.78-2.79

---

Entry 2:
The following is a PBE calculation of a relaxed Y6TmCd2 crystal, from Alexandria via LeMat-Bulk.

total magnetization = 0.00 Bohr magnetons per cell
calculated total energy = -5.147 eV/atom
ΔE_f = -137 meV/atom

abc: 3.7390 6.5991 11.6946
angles: 75.54 80.80 73.54
With the nearest neighbours (Å) after each atom.
Positions (direct):
Y (0.6846, 0.5085, 0.1222)  2 Cd 3.22, 5 Y 3.41-3.51
Y (0.3154, 0.4915, 0.8778)  2 Cd 3.22, 5 Y 3.41-3.51
Y (0.6868, 0.2119, 0.4145)  2 Cd 3.30, 8 Y 3.49-3.58
Y (0.9824, 0.6990, 0.3362)  2 Cd 3.21, 7 Y 3.51-3.58
Y (0.0176, 0.3010, 0.6638)  2 Cd 3.21, 7 Y 3.51-3.58
Y (0.3132, 0.7881, 0.5855)  2 Cd 3.30, 8 Y 3.49-3.58
Tm (0.0000, 0.0000, 0.0000)  4 Cd 3.14
Cd (0.6455, 0.9120, 0.7969)  2 Tm 3.14, 6 Y 3.21-3.30
Cd (0.3545, 0.0880, 0.2031)  2 Tm 3.14, 6 Y 3.21-3.30